First-principles (GGA-PBE) data for a geometry-optimized Pa2Co3As4Os structure, as listed in the Alexandria database.

```
10
Lattice="4.188 0.000 0.000 0.000 4.188 0.000 0.000 0.000 9.259" Properties=species:S:1:pos:R:3 pbc="T T T"
Pa 0.000 2.094 2.310
Pa 2.094 0.000 6.950
Co 0.000 0.000 0.000
Co 0.000 2.094 5.666
Co 2.094 0.000 3.594
As 0.000 0.000 4.630
As 0.000 2.094 7.943
As 2.094 0.000 1.316
As 2.094 2.094 4.630
Os 2.094 2.094 0.000
```

Values from the calculation:
- N(E_F): 0.54 states/eV per atom
- DFT total energy: -7.625 eV/atom
- Formation enthalpy at 0 K: -611 meV per atom
- Theoretical density: 11.5 g/cm³

=====

First-principles (GGA-PBE) data for a geometry-optimized SrSmTm2Se4 structure, as listed in the Alexandria database.

```
8
Lattice="7.185 0.000 0.000 0.000 4.114 0.000 -2.345 0.000 6.825" Properties=species:S:1:pos:R:3 pbc="T T T"
Sr 0.000 0.000 0.000
Sm 3.592 2.057 0.000
Tm -1.172 2.057 3.412
Tm 2.420 0.000 3.412
Se 0.059 0.000 5.002
Se 1.236 2.057 1.845
Se 3.604 2.057 4.980
Se 4.781 0.000 1.823
```

Values from the calculation:
- N(E_F): 0.40 states/eV per atom
- DFT total energy: -5.439 eV/atom
- Uncorrected formation energy: -1779 meV per atom
- Theoretical density: 7.3 g/cm³

=====

First-principles (GGA-PBE) data for a geometry-optimized Tb2Si2Tc2H structure, as listed in the Alexandria database.

```
7
Lattice="-2.045 2.045 7.100 2.045 -2.045 7.100 2.045 2.045 -7.100" Properties=species:S:1:pos:R:3 pbc="T T T"
Tb 0.000 0.000 2.304
Tb 0.000 0.000 11.896
Si 0.000 0.000 5.559
Si 0.000 0.000 8.641
Tc 2.045 0.000 0.000
Tc 0.000 2.045 0.000
H 0.000 0.000 0.000
```

Values from the calculation:
- N(E_F): 0.77 states/eV per atom
- DFT total energy: -6.921 eV/atom
- Theoretical density: 8.0 g/cm³